No. 1
Computed, not measured: an optimized crystal structure of CaTmTlCd at the PBE level of DFT.

Geometry as POSCAR:
```
CaTmTlCd
1.0
0.000 3.781 3.781
3.781 0.000 3.781
3.781 3.781 0.000
Ca Tm Tl Cd
1 1 1 1
Cartesian
0.000 0.000 0.000
3.781 3.781 3.781
1.890 1.890 1.890
5.671 5.671 5.671
```

Values from the calculation:
- VASP energy (eV/atom) = -2.797
- D(E_F) (states/eV/cell) = 2.0
- formation energy from the elements (eV/f.u.) = -1.4

=====

No. 2
Computed, not measured: an optimized crystal structure of CaYTlCd at the PBE level of DFT.

Geometry as POSCAR:
```
CaYTlCd
1.0
0.000 3.806 3.806
3.806 0.000 3.806
3.806 3.806 0.000
Ca Y Tl Cd
1 1 1 1
Cartesian
0.000 0.000 0.000
3.806 3.806 3.806
1.903 1.903 1.903
5.709 5.709 5.709
```

Values from the calculation:
- VASP energy (eV/atom) = -3.333
- D(E_F) (states/eV/cell) = 1.8
- formation energy from the elements (eV/f.u.) = -1.6